# 1
A geometry-optimized HoEr2H structure, computed with PBE.

Computed properties:
Energy above the lowest structure with this stoichiometry = 0 meV per atom
DOS(E_F) = 2.862 states/eV/f.u.
Final energy = -4.455 eV per atom

abc: 3.5584 3.5584 25.1249
angles: 90.00 90.00 120.00
Space group R-3m (No. 166, hexagonal axes)
Symmetry-distinct sites (fractional):
Ho  0.0000  0.0000  0.0000 (multiplicity 3)
Er  0.0000  0.0000  0.2206 (multiplicity 6)
H  0.0000  0.0000  0.5000 (multiplicity 3)



# 2
A geometry-optimized Pm6Y2Hg structure, computed with PBE.

Computed properties:
DOS(E_F) = 11.157 states/eV/f.u.
Energy of formation = -100 meV/atom
Final energy = -4.737 eV per atom

abc: 9.6280 9.6280 3.6763
angles: 90.00 90.00 120.00
Space group P-62m (No. 189)
Symmetry-distinct sites (fractional):
Pm  0.0000  0.3789  0.0000 (multiplicity 3)
Pm  0.0000  0.7264  0.5000 (multiplicity 3)
Y  0.3333  0.6667  0.5000 (multiplicity 2)
Hg  0.0000  0.0000  0.0000 (multiplicity 1)



# 3
A geometry-optimized PmMgRuPt structure, computed with PBE.

Computed properties:
DOS(E_F) = 1.690 states/eV/f.u.
Energy of formation = -439 meV/atom
Final energy = -5.855 eV per atom

abc: 6.720 6.720 6.720
angles: 90.00 90.00 90.00
Space group F-43m (No. 216)
Symmetry-distinct sites (fractional):
Pm  0.000  0.000  0.000 (multiplicity 4)
Mg  0.000  0.000  0.500 (multiplicity 4)
Ru  0.250  0.250  0.750 (multiplicity 4)
Pt  0.250  0.250  0.250 (multiplicity 4)



# 4
A geometry-optimized HfCd3Se structure, computed with PBE.

Computed properties:
Energy above the lowest structure with this stoichiometry = 83 meV per atom
DOS(E_F) = 2.610 states/eV/f.u.
Final energy = -2.302 eV per atom

abc: 5.602 5.602 5.602
angles: 90.00 90.00 90.00
Space group Pm-3m (No. 221)
Symmetry-distinct sites (fractional):
Hf  0.000  0.000  0.000 (multiplicity 1)
Cd  0.000  0.000  0.500 (multiplicity 3)
Se  0.500  0.500  0.500 (multiplicity 1)



# 5
A geometry-optimized CeBMo structure, computed with PBE.

Computed properties:
DOS(E_F) = 3.227 states/eV/f.u.
Energy of formation = 277 meV/atom
Final energy = -7.537 eV per atom

abc: 3.244 10.103 23.930
angles: 90.00 90.00 90.00
Space group Fddd (No. 70, origin choice 2)
Symmetry-distinct sites (fractional):
Ce  0.125  0.260  0.125 (multiplicity 16)
B  0.125  0.125  0.551 (multiplicity 16)
Mo  0.125  0.125  0.257 (multiplicity 16)



# 6
A geometry-optimized OsNO2F structure, computed with PBE.

Computed properties:
DOS(E_F) = 3.045 states/eV/f.u.
Final energy = -6.397 eV per atom

abc: 3.753 3.753 3.844
angles: 90.00 90.00 90.00
Space group P4/mmm (No. 123)
Symmetry-distinct sites (fractional):
Os  0.000  0.000  0.000 (multiplicity 1)
N  0.000  0.000  0.500 (multiplicity 1)
O  0.000  0.500  0.000 (multiplicity 2)
F  0.500  0.500  0.500 (multiplicity 1)



# 7
A geometry-optimized LaSnTe3 structure, computed with PBE.

Computed properties:
Energy above the lowest structure with this stoichiometry = 509 meV per atom
DOS(E_F) = 1.497 states/eV/f.u.
Final energy = -4.026 eV per atom

abc: 5.655 5.655 5.655
angles: 90.00 90.00 90.00
Space group Pm-3m (No. 221)
Symmetry-distinct sites (fractional):
La  0.000  0.000  0.000 (multiplicity 1)
Sn  0.500  0.500  0.500 (multiplicity 1)
Te  0.000  0.500  0.500 (multiplicity 3)



# 8
A geometry-optimized Nd2Er3Pb4 structure, computed with PBE.

Computed properties:
Energy above the lowest structure with this stoichiometry = 0 meV per atom
DOS(E_F) = 5.706 states/eV/f.u.
Energy of formation = -578 meV/atom
Final energy = -4.806 eV per atom

abc: 8.450 8.403 8.182
angles: 90.00 111.62 90.00
Space group P2_1/c (No. 14)
Symmetry-distinct sites (fractional):
Nd  0.193  0.179  0.057 (multiplicity 4)
Er  0.245  0.659  0.238 (multiplicity 4)
Er  0.500  0.000  0.500 (multiplicity 2)
Pb  0.086  0.542  0.832 (multiplicity 4)
Pb  0.493  0.141  0.859 (multiplicity 4)



# 9
A geometry-optimized Dy2Cu3Ge4Rh structure, computed with PBE.

Computed properties:
DOS(E_F) = 3.733 states/eV/f.u.
Energy of formation = -545 meV/atom
Final energy = -5.276 eV per atom

abc: 4.104 4.104 10.276
angles: 90.00 90.00 90.00
Space group P-4m2 (No. 115)
Symmetry-distinct sites (fractional):
Dy  0.000  0.500  0.247 (multiplicity 2)
Cu  0.000  0.000  0.000 (multiplicity 1)
Cu  0.000  0.500  0.635 (multiplicity 2)
Ge  0.000  0.000  0.500 (multiplicity 1)
Ge  0.000  0.500  0.865 (multiplicity 2)
Ge  0.500  0.500  0.500 (multiplicity 1)
Rh  0.500  0.500  0.000 (multiplicity 1)



# 10
A geometry-optimized Sm2ScTlO structure, computed with PBE.

Computed properties:
DOS(E_F) = 3.419 states/eV/f.u.
Final energy = -5.969 eV per atom

abc: 4.963 4.963 4.454
angles: 90.00 90.00 90.00
Space group P4/mmm (No. 123)
Symmetry-distinct sites (fractional):
Sm  0.000  0.500  0.000 (multiplicity 2)
Sc  0.000  0.000  0.500 (multiplicity 1)
Tl  0.500  0.500  0.500 (multiplicity 1)
O  0.000  0.000  0.000 (multiplicity 1)



# 11
A geometry-optimized ScHgIr2 structure, computed with PBE.

Computed properties:
DOS(E_F) = 6.739 states/eV/f.u.
Energy of formation = -20 meV/atom
Final energy = -6.109 eV per atom

abc: 6.526 6.526 6.526
angles: 90.00 90.00 90.00
Space group F-43m (No. 216)
Symmetry-distinct sites (fractional):
Sc  0.000  0.000  0.000 (multiplicity 4)
Hg  0.250  0.250  0.250 (multiplicity 4)
Ir  0.000  0.000  0.500 (multiplicity 4)
Ir  0.250  0.250  0.750 (multiplicity 4)



# 12
A geometry-optimized K3Hg9Bi2 structure, computed with PBE.

Computed properties:
DOS(E_F) = 5.553 states/eV/f.u.
Energy of formation = -183 meV/atom
Final energy = -1.167 eV per atom

abc: 5.130 11.249 15.285
angles: 90.00 90.00 90.00
Space group Immm (No. 71)
Symmetry-distinct sites (fractional):
K  0.000  0.000  0.000 (multiplicity 2)
K  0.000  0.000  0.319 (multiplicity 4)
Hg  0.000  0.275  0.131 (multiplicity 8)
Hg  0.000  0.367  0.318 (multiplicity 8)
Hg  0.000  0.500  0.000 (multiplicity 2)
Bi  0.000  0.232  0.500 (multiplicity 4)



In the order shown, the computed total magnetization values come out to 0.000, 0.000, 0.000, 0.000, 0.000, 0.142, 0.000, 0.000, 0.000, 0.000, 0.169, 0.000 μB/atom.